Entry from Alexandria: a relaxed structure of TbCeNd2Tm5 (PBE-GGA).

Output
For the formation energy, the calculation gives 0.273 eV per atom. For the energy, the calculation gives -80.001 eV per cell. As for the crystal system: tetragonal. The calculation puts the total moment at 0.11 μB per atom.

a b c (Å): 8.563 8.563 9.820
angles (deg): 115.85 115.85 90.00
Site moments in Bohr magnetons follow the coordinates.
Sites, in units of the cell vectors:
Tb1 0.250 0.250 0.500  0.01
Tb2 0.750 0.750 0.500  0.01
Ce1 0.250 0.750 0.500  0.73
Ce2 0.750 0.250 0.500  0.73
Nd1 0.120 0.380 0.000  -0.02
Nd2 0.620 0.120 0.000  -0.02
Nd3 0.380 0.880 0.000  -0.02
Nd4 0.880 0.620 0.000  -0.02
Tm1 0.934 0.434 0.281  0.05
Tm2 0.653 0.153 0.719  0.05
Tm3 0.066 0.566 0.719  0.05
Tm4 0.153 0.066 0.719  0.05
Tm5 0.566 0.653 0.719  0.05
Tm6 0.847 0.934 0.281  0.05
Tm7 0.434 0.347 0.281  0.05
Tm8 0.347 0.847 0.281  0.05
Tm9 0.500 0.500 0.000  -0.03
Tm10 0.000 0.000 0.000  -0.03

***

Entry from Alexandria: a relaxed structure of Y3ZnFe (PBE-GGA).

Output
For the formation energy, the calculation gives -0.115 eV per atom. For the energy, the calculation gives -59.411 eV per cell. As for the crystal system: monoclinic. The calculation puts the total moment at 0.19 μB per atom.

a b c (Å): 3.674 8.113 8.469
angles (deg): 89.73 90.01 103.08
Site moments in Bohr magnetons follow the coordinates.
Sites, in units of the cell vectors:
Y1 0.917 0.800 0.413  -0.07
Y2 0.576 0.118 0.652  -0.12
Y3 0.380 0.728 0.770  -0.12
Y4 0.039 0.046 0.009  -0.07
Y5 0.741 0.449 0.018  -0.13
Y6 0.215 0.397 0.404  -0.13
Zn1 0.567 0.102 0.289  -0.01
Zn2 0.389 0.744 0.133  -0.01
Fe1 0.758 0.483 0.655  1.55
Fe2 0.198 0.363 0.767  1.55

***

Entry from Alexandria: a relaxed structure of AlCdC2 (PBE-GGA).

Output
For the formation energy, the calculation gives 1.253 eV per atom. For the energy, the calculation gives -36.189 eV per cell. As for the crystal system: tetragonal. The calculation puts the total moment at 0.00 μB per atom.

a b c (Å): 4.270 4.270 6.846
angles (deg): 71.83 71.83 90.00
Sites, in units of the cell vectors:
C1 0.506 0.125 0.250
C2 0.244 0.625 0.250
C3 0.375 0.494 0.750
C4 0.875 0.756 0.750
Al1 0.500 0.500 0.000
Al2 0.250 0.750 0.500
Cd1 0.000 0.000 0.000
Cd2 0.750 0.250 0.500

***

> Which of these has the lowest energy?

TbCeNd2Tm5